Entry 1:
Rb3NbSb, PBEsol geometry, DFT meta-GGA SCAN; total moment = 1.3788 μB per atom; calculated density = 2.90 g cm⁻³; E_tot = -25.4689 eV per atom; E_form (uncorrected) = 1.05 eV/atom; SG = Pm-3m (221)
1.0
6.459 0.000 0.000
0.000 6.459 0.000
0.000 0.000 6.459
Sb Nb Rb
1 1 3
Direct
0.500 0.500 0.500
0.000 0.000 0.000
0.000 0.500 0.000
0.000 0.000 0.500
0.500 0.000 0.000


Entry 2:
RbNb2Sb2, PBEsol geometry, DFT meta-GGA SCAN; total moment = 0.0000 μB per atom; calculated density = 6.43 g cm⁻³; E_tot = -32.4798 eV per atom; E_form (uncorrected) = -0.18 eV/atom; SG = I4/mmm (139)
1.0
4.212 0.000 0.000
0.000 4.212 0.000
-2.106 -2.106 7.498
Sb Nb Rb
2 2 1
Direct
0.374 0.374 0.748
0.626 0.626 0.252
0.250 0.750 0.500
0.750 0.250 0.500
0.000 0.000 0.000


Entry 3:
RbNbSbTe2, PBEsol geometry, DFT meta-GGA SCAN; total moment = 0.5198 μB per atom; calculated density = 4.84 g cm⁻³; E_tot = -31.3927 eV per atom; E_form (uncorrected) = 1.73 eV/atom; SG = P4/mmm (123)
1.0
5.593 0.000 0.000
0.000 5.836 0.000
0.000 0.000 5.836
Sb Nb Te Rb
1 1 2 1
Direct
0.500 0.000 0.000
0.500 0.500 0.500
0.000 0.000 0.500
0.000 0.500 0.000
0.000 0.000 0.000


Entry 4:
Rb2Sc2Nb, PBEsol geometry, DFT meta-GGA SCAN; total moment = 0.6098 μB per atom; calculated density = 4.07 g cm⁻³; E_tot = -18.8370 eV per atom; SG = I4/mmm (139); DFT formation energy = 1.7795 eV per atom
1.0
5.726 0.000 0.000
-2.863 5.252 0.119
0.000 3.012 4.871
Sc Nb Rb
2 1 2
Direct
0.750 0.500 0.750
0.250 0.500 0.250
0.000 0.000 0.000
0.656 0.311 0.344
0.344 0.689 0.656


Question: E_tot of number 4 (Rb2Sc2Nb)?
Answer: -18.8370 eV per atom


Question: The lowest E_tot belongs to which entry?
Answer: RbNb2Sb2